Density functional theory data (PBE-GGA) for crystalline TeN3F at its relaxed geometry.

abc: 3.7303 3.7303 3.7303
angles: 90.00 90.00 90.00
With the nearest neighbours (Å) after each atom.
Fractional positions:
Te  0.0000  0.0000  0.0000  12 N 2.64
N  0.0000  0.5000  0.5000  2 F 1.87
N  0.5000  0.0000  0.5000  2 F 1.87
N  0.5000  0.5000  0.0000  2 F 1.87
F  0.5000  0.5000  0.5000  6 N 1.87

## Properties
* calculated total energy: -17.09 eV per cell
* symmetry: No. 221
* DOS at the Fermi energy: 2.0 states/eV/f.u.
* formation energy from raw total energies: 2580 meV per atom